[1]
The following is a GGA-PBEsol calculation of crystalline YBeCr2 at its relaxed geometry, from Alexandria via LeMat-Bulk.

Structure (POSCAR):
```
YBeCr2
1.0
-1.7353 -2.1854 0.8334
3.6746 -2.1487 0.9705
-1.0851 3.8260 3.2079
Cr Y Be
2 1 1
Direct
0.5000 0.5000 0.5000 Cr
0.0000 0.0000 0.5000 Cr
0.5000 0.0000 0.0000 Y
0.0000 0.5000 0.0000 Be
```

## Properties
* Fermi-level density of states: 4.1 states/eV/f.u.
* space group: C2/m (12)
* E_form: 788 meV/atom


[2]
The following is a GGA-PBEsol calculation of crystalline BeZn2Cr at its relaxed geometry, from Alexandria via LeMat-Bulk.

Structure (POSCAR):
```
BeZn2Cr
1.0
-2.2236 0.9472 0.6880
-1.7216 -1.8687 -2.9912
0.2341 -4.1702 2.4706
Zn Be Cr
2 1 1
Direct
0.3464 0.0000 0.2411 Zn
0.6536 0.0000 0.7589 Zn
0.5000 0.5000 0.0000 Be
0.0000 0.5000 0.5000 Cr
```

## Properties
* Fermi-level density of states: 2.5 states/eV/f.u.
* space group: P2/m (10)
* E_form: 215 meV/atom


[3]
The following is a GGA-PBEsol calculation of crystalline BeZn2Cr at its relaxed geometry, from Alexandria via LeMat-Bulk.

Structure (POSCAR):
```
BeZn2Cr
1.0
2.4808 0.0000 0.0000
0.0000 2.4808 0.0000
0.0000 0.0000 7.5128
Be Zn Cr
1 2 1
Direct
0.0000 0.0000 0.5066 Be
0.0000 0.0000 0.9909 Zn
0.5000 0.5000 0.2743 Zn
0.5000 0.5000 0.7283 Cr
```

## Properties
* Fermi-level density of states: 2.2 states/eV/f.u.
* space group: P4mm (99)
* E_form: 152 meV/atom


[4]
The following is a GGA-PBEsol calculation of crystalline BeZnCr2 at its relaxed geometry, from Alexandria via LeMat-Bulk.

Structure (POSCAR):
```
BeZnCr2
1.0
2.4150 0.0027 0.0000
-0.7042 2.3101 0.0000
0.0000 0.0000 7.8805
Cr Zn Be
2 1 1
Direct
0.5000 0.5000 0.7616 Cr
0.0000 0.0000 0.0095 Cr
0.0000 0.0000 0.4893 Zn
0.5000 0.5000 0.2395 Be
```

## Properties
* Fermi-level density of states: 2.0 states/eV/f.u.
* space group: Cmm2 (35)
* E_form: 118 meV/atom


[5]
The following is a GGA-PBEsol calculation of crystalline BeZn2Cr at its relaxed geometry, from Alexandria via LeMat-Bulk.

Structure (POSCAR):
```
BeZn2Cr
1.0
2.5452 0.0000 0.0000
1.2726 2.2042 0.0000
1.2726 0.7347 8.4160
Zn Be Cr
2 1 1
Direct
0.9966 0.9966 0.0103 Zn
0.7558 0.7558 0.7326 Zn
0.5034 0.5034 0.4898 Be
0.2442 0.2442 0.2673 Cr
```

## Properties
* Fermi-level density of states: 2.1 states/eV/f.u.
* space group: R3m (160)
* E_form: 220 meV/atom


[6]
The following is a GGA-PBEsol calculation of crystalline BeZnCr2 at its relaxed geometry, from Alexandria via LeMat-Bulk.

Structure (POSCAR):
```
BeZnCr2
1.0
-0.9996 0.4219 2.1334
3.1881 -1.3167 1.7542
2.0795 4.2415 -0.5958
Cr Zn Be
2 1 1
Direct
0.0296 0.0000 0.2739 Cr
0.9704 0.0000 0.7261 Cr
0.5000 0.5000 0.0000 Zn
0.5000 0.5000 0.5000 Be
```

## Properties
* Fermi-level density of states: 2.2 states/eV/f.u.
* space group: P2/m (10)
* E_form: 137 meV/atom


[7]
The following is a GGA-PBEsol calculation of crystalline BeZnCr at its relaxed geometry, from Alexandria via LeMat-Bulk.

Structure (POSCAR):
```
BeZnCr
1.0
-2.3428 0.5972 -0.0948
-0.6042 -2.2972 0.4607
1.5280 1.9282 5.2653
Zn Cr Be
1 1 1
Direct
0.3400 0.3400 0.6799 Zn
0.6565 0.6565 0.3131 Cr
0.0035 0.0035 0.0070 Be
```

## Properties
* Fermi-level density of states: 1.7 states/eV/f.u.
* space group: I4mm (107)
* E_form: 150 meV/atom


[8]
The following is a GGA-PBEsol calculation of crystalline Be2ZnCr at its relaxed geometry, from Alexandria via LeMat-Bulk.

Structure (POSCAR):
```
Be2ZnCr
1.0
-1.4680 -0.6921 -1.9458
1.4276 -3.9123 0.3145
-2.9247 1.4311 3.3473
Zn Be Cr
1 2 1
Direct
0.0000 0.5000 0.0000 Zn
0.7470 0.7470 0.4939 Be
0.2530 0.2530 0.5061 Be
0.5000 0.0000 0.0000 Cr
```

## Properties
* Fermi-level density of states: 2.1 states/eV/f.u.
* space group: Immm (71)
* E_form: 293 meV/atom